No. 1
A plane-wave DFT calculation with PBE was carried out for a geometry-optimized NaMg3 structure.

The structure in extended XYZ format:
```
8
Lattice="3.336 -5.785 0.000 3.336 5.785 0.000 0.000 0.000 5.219" Properties=species:S:1:pos:R:3 pbc="T T T"
Na 3.336 4.860 3.914
Na 3.336 -4.860 1.305
Mg 1.701 1.984 3.914
Mg 3.336 0.959 1.305
Mg 1.701 -1.984 1.305
Mg 4.972 1.984 3.914
Mg 3.336 -0.959 3.914
Mg 4.972 -1.984 1.305
```

## Properties
E_form   0.080 eV/atom
SG   Cmcm
V   25.18 Å³ per atom

No. 2
A plane-wave DFT calculation with PBE was carried out for a geometry-optimized Nd3YCu4 structure.

The structure in extended XYZ format:
```
8
Lattice="5.049 0.000 0.000 0.000 5.049 0.000 0.000 0.000 7.108" Properties=species:S:1:pos:R:3 pbc="T T T"
Nd 0.000 0.000 0.000
Nd 0.000 0.000 3.554
Nd 2.524 2.524 0.000
Y 2.524 2.524 3.554
Cu 0.000 2.524 1.832
Cu 0.000 2.524 5.275
Cu 2.524 0.000 1.832
Cu 2.524 0.000 5.275
```

## Properties
E_form   -0.162 eV/atom
SG   P4/mmm
V   22.65 Å³ per atom

No. 3
A plane-wave DFT calculation with PBE was carried out for a geometry-optimized VCuPd2 structure.

The structure in extended XYZ format:
```
4
Lattice="2.382 -1.369 0.000 2.382 1.369 0.000 -1.560 0.000 8.684" Properties=species:S:1:pos:R:3 pbc="T T T"
V 0.000 0.000 0.000
Cu 1.601 0.000 4.342
Pd 0.020 0.000 6.534
Pd 3.182 0.000 2.150
```

## Properties
E_form   -0.112 eV/atom
SG   C2/m
V   14.15 Å³ per atom

No. 4
A plane-wave DFT calculation with PBE was carried out for a geometry-optimized CoMo2PtC structure.

The structure in extended XYZ format:
```
5
Lattice="4.151 0.000 0.000 0.000 4.151 0.000 0.000 0.000 3.795" Properties=species:S:1:pos:R:3 pbc="T T T"
Co 0.000 0.000 0.000
Mo 0.000 2.076 1.898
Mo 2.076 0.000 1.898
Pt 2.076 2.076 0.000
C 0.000 0.000 1.898
```

## Properties
E_form   0.035 eV/atom
SG   P4/mmm
V   13.08 Å³ per atom